First-principles (PBE) data for a geometry-optimized OsPtPbO6 structure, as listed in Alexandria.

Summary:
As for the uncorrected formation energy: -76.6 kJ per mole of atoms. The calculation puts the total magnetic moment at 0.00 Bohr magnetons per cell. As for the density: 9.03 g/cm³.

extended XYZ file:
```
18
Lattice="-4.4774 -1.1301 5.1281 5.0994 -3.7314 3.6301 1.1943 6.6767 -2.1291" Properties=species:S:1:pos:R:3 pbc="T T T"
Os 0.3110 -2.4307 4.3791
Os -2.2387 -0.5650 2.5640
Pt -1.6416 2.7733 1.4995
Pt 0.5971 3.3383 -1.0646
Pb 0.2740 1.9939 5.3218
Pb 1.5422 -0.1787 1.3072
O 2.6784 3.0262 3.0054
O -2.4412 3.3925 3.2593
O -2.8821 0.4233 4.0747
O 1.7412 -1.1997 4.0444
O -1.0937 0.8747 2.0264
O -0.0473 -1.6511 6.0928
O -0.8622 -1.2110 3.6236
O 4.2575 -1.5773 3.3697
O 4.6984 1.3919 2.5543
O 0.0750 3.0149 2.5846
O 2.9099 0.9405 4.6026
O 1.8635 3.4663 0.5362
```